Run 1
Below is MnTe2IrI after structural relaxation, with properties calculated at the GGA-PBE level.

Cell: 4.817 4.817 5.269 Å, 90.00 90.00 90.00°
Fractional positions:
Te 0.500 0.000 0.000
Te 0.000 0.500 0.000
Mn 0.000 0.000 0.000
I 0.000 0.000 0.500
Ir 0.500 0.500 0.500

Summary:
Crystal system: tetragonal



Run 2
Below is MnTe2IrI after structural relaxation, with properties calculated at the GGA-PBE level.

Cell: 5.213 5.213 5.450 Å, 90.00 90.00 90.00°
Site moments in Bohr magnetons follow the coordinates.
Fractional positions:
I 0.000 0.000 0.500  -0.02
Ir 0.000 0.000 0.000  -0.04
Mn 0.500 0.500 0.500  -0.26
Te 0.000 0.500 0.000  -0.03
Te 0.500 0.000 0.000  -0.03

Summary:
Crystal system: tetragonal



Each structure's energy above the most stable one, in meV per atom: run 1 0; run 2 92.



Run 1
Below is MnTeIrI2 after structural relaxation, with properties calculated at the GGA-PBE level.

Cell: 5.204 5.204 5.352 Å, 90.00 90.00 90.00°
Site moments in Bohr magnetons follow the coordinates.
Fractional positions:
Te 0.000 0.000 0.500  0.00
Ir 0.500 0.500 0.500  0.18
I 0.000 0.500 0.000  0.07
I 0.500 0.000 0.000  0.07
Mn 0.000 0.000 0.000  3.57

Summary:
Crystal system: tetragonal



Run 2
Below is MnTeIrI2 after structural relaxation, with properties calculated at the GGA-PBE level.

Cell: 5.494 5.494 5.199 Å, 90.00 90.00 90.00°
Site moments in Bohr magnetons follow the coordinates.
Fractional positions:
I 0.500 0.000 0.000  0.04
I 0.000 0.500 0.000  0.04
Te 0.000 0.000 0.500  -0.06
Mn 0.500 0.500 0.500  4.58
Ir 0.000 0.000 0.000  -0.10

Summary:
Crystal system: tetragonal



Each structure's energy above the most stable one, in meV per atom: run 1 555; run 2 0.



Run 1
Below is Mo2IrI after structural relaxation, with properties calculated at the GGA-PBE level.

Cell: 5.861 5.861 7.200 Å, 65.98 65.98 90.00°
Fractional positions:
Ir 0.750 0.250 0.500
Ir 0.000 0.000 0.000
I 0.500 0.500 0.000
I 0.250 0.750 0.500
Mo 0.875 0.915 0.750
Mo 0.085 0.625 0.250
Mo 0.665 0.125 0.250
Mo 0.375 0.335 0.750

Summary:
Crystal system: tetragonal



Run 2
Below is Mo2IrI after structural relaxation, with properties calculated at the GGA-PBE level.

Cell: 4.572 4.572 4.572 Å, 60.00 60.00 60.00°
Fractional positions:
Mo 0.750 0.750 0.750
Mo 0.250 0.250 0.250
I 0.000 0.000 0.000
Ir 0.500 0.500 0.500

Summary:
Crystal system: cubic



Each structure's energy above the most stable one, in meV per atom: run 1 338; run 2 0.



Run 1
Below is MoIrI2 after structural relaxation, with properties calculated at the GGA-PBE level.

Cell: 6.065 6.065 7.356 Å, 65.66 65.66 90.00°
Fractional positions:
Ir 0.750 0.250 0.500
Ir 0.000 0.000 0.000
I 0.120 0.625 0.250
I 0.375 0.370 0.750
I 0.630 0.125 0.250
I 0.875 0.880 0.750
Mo 0.500 0.500 0.000
Mo 0.250 0.750 0.500

Summary:
Crystal system: tetragonal



Run 2
Below is MoIrI2 after structural relaxation, with properties calculated at the GGA-PBE level.

Cell: 4.836 4.836 4.836 Å, 60.00 60.00 60.00°
Fractional positions:
I 0.750 0.750 0.750
I 0.250 0.250 0.250
Mo 0.000 0.000 0.000
Ir 0.500 0.500 0.500

Summary:
Crystal system: cubic



Each structure's energy above the most stable one, in meV per atom: run 1 0; run 2 63.